(1)
Hf2CuHPd, optimized geometry, DFT PBE; crystal system = tetragonal; Fermi-level density of states = 0.63 states/eV per atom; ΔE to the lowest computed polymorph = 0.00 eV/f.u.; SG = P4/mmm
1.0
-3.961 -1.403 -1.324
-0.096 -2.877 3.335
-1.626 2.555 2.157
Hf Pd Cu H
2 1 1 1
direct
0.500 0.000 0.000
0.000 0.500 0.000
0.500 0.500 0.500
0.000 0.000 0.500
0.000 0.000 0.000

(2)
ZrU2N3, optimized geometry, DFT PBE; crystal system = tetragonal; Fermi-level density of states = 1.26 states/eV per atom; SG = I4/mmm; formation energy (no corrections) = -1.4611 eV per atom
1.0
-5.712 -3.867 3.073
-7.415 -1.302 -0.592
7.003 0.757 -2.723
N Zr U
3 1 2
direct
0.837 0.837 0.000
0.500 0.500 0.000
0.163 0.163 0.000
0.000 0.000 0.000
0.336 0.336 0.000
0.664 0.664 0.000